First-principles (GGA-PBE) data for a relaxed structure of Pm2Pr6Sm, as listed in the Alexandria database.

abc: 10.276 10.276 3.692
angles: 90.00 90.00 124.27
Element x y z (fractional)
Pm: 0.178 0.822 0.000
Pm: 0.822 0.178 0.000
Pr: 0.161 0.489 0.500
Pr: 0.318 0.318 0.000
Pr: 0.489 0.161 0.500
Pr: 0.511 0.839 0.500
Pr: 0.682 0.682 0.000
Pr: 0.839 0.511 0.500
Sm: 0.000 0.000 0.500

Values from the calculation:
VASP energy (eV per atom): -4.64
Excess energy over the best structure of this formula in the dataset (eV/atom): 0.000
ΔH_f (0 K) (kJ/mol of atoms): 12.1



First-principles (GGA-PBE) data for a relaxed structure of CaNd5Ga4, as listed in the Alexandria database.

abc: 7.971 8.983 8.333
angles: 90.00 90.00 90.00
Element x y z (fractional)
Ca: 0.250 0.250 0.077
Ca: 0.750 0.750 0.923
Nd: 0.000 0.049 0.733
Nd: 0.000 0.451 0.733
Nd: 0.000 0.549 0.267
Nd: 0.000 0.951 0.267
Nd: 0.250 0.750 0.639
Nd: 0.500 0.049 0.733
Nd: 0.500 0.451 0.733
Nd: 0.500 0.549 0.267
Nd: 0.500 0.951 0.267
Nd: 0.750 0.250 0.361
Ga: 0.097 0.250 0.443
Ga: 0.250 0.602 0.985
Ga: 0.250 0.898 0.985
Ga: 0.403 0.250 0.443
Ga: 0.597 0.750 0.557
Ga: 0.750 0.102 0.015
Ga: 0.750 0.398 0.015
Ga: 0.903 0.750 0.557

Values from the calculation:
VASP energy (eV per atom): -4.05
ΔH_f (0 K) (kJ/mol of atoms): -24.8



Computed volume (A^3/atom) in order:
35.8 29.8